The following is a PBE-GGA calculation of ZnReBr2 after structural relaxation, from Alexandria.

a b c (Å): 8.8006 8.8006 8.8006
angles (deg): 22.09 22.09 22.09
Last column: nearest neighbours and their distance in Å.
Positions (direct):
Zn  0.0000  0.0000  0.0000  3 Br 2.62, 3 Re 2.81
Re  0.2548  0.2548  0.2548  3 Br 2.48
Br  0.5282  0.5282  0.5282  3 Re 2.48
Br  0.7346  0.7346  0.7346  3 Zn 2.62

Raw formation energy: 0.315 eV per atom
Energy relative to the lowest polymorph listed for this composition: 12.3 kJ/mol of atoms


The following is a PBE-GGA calculation of SrLi17Ca after structural relaxation, from Alexandria.

a b c (Å): 7.6951 7.6951 7.6951
angles (deg): 82.76 82.76 82.76
Last column: nearest neighbours and their distance in Å.
Positions (direct):
Sr  0.0000  0.0000  0.0000  19 Li 3.65-3.95
Li  0.0094  0.0094  0.5020  9 Li 2.97-3.26
Li  0.0094  0.5020  0.0094  9 Li 2.97-3.26
Li  0.1549  0.6564  0.6564  10 Li 2.90-3.12
Li  0.3111  0.3111  0.7943  9 Li 2.90-3.11
Li  0.3111  0.7943  0.3111  9 Li 2.90-3.11
Li  0.3666  0.6527  0.9478  8 Li 2.90-3.16
Li  0.3666  0.9478  0.6527  8 Li 2.90-3.16
Li  0.5020  0.0094  0.0094  9 Li 2.97-3.26
Li  0.5572  0.5572  0.5572  7 Li 2.89-3.12
Li  0.6527  0.3666  0.9478  8 Li 2.90-3.16
Li  0.6527  0.9478  0.3666  8 Li 2.90-3.16
Li  0.6564  0.1549  0.6564  10 Li 2.90-3.12
Li  0.6564  0.6564  0.1549  10 Li 2.90-3.12
Li  0.7510  0.7510  0.7510  4 Li 2.89-3.12
Li  0.7943  0.3111  0.3111  9 Li 2.90-3.11
Li  0.9478  0.3666  0.6527  8 Li 2.90-3.16
Li  0.9478  0.6527  0.3666  8 Li 2.90-3.16
Ca  0.3141  0.3141  0.3141  16 Li 3.57-3.94

VASP energy: -1.888 eV per atom


The following is a PBE-GGA calculation of LiRe2N after structural relaxation, from Alexandria.

a b c (Å): 6.5607 6.5607 6.5607
angles (deg): 134.50 134.50 66.31
Last column: nearest neighbours and their distance in Å.
Positions (direct):
Li  0.0000  0.0000  0.0000  4 Re 2.81
Li  0.7500  0.2500  0.5000  4 Re 2.81
Re  0.2879  0.6250  0.1629  2 N 1.92
Re  0.3750  0.5379  0.6629  2 N 1.92
Re  0.4621  0.1250  0.8371  2 N 1.92
Re  0.8750  0.7121  0.3371  2 N 1.92
N  0.2500  0.7500  0.5000  4 Re 1.92
N  0.5000  0.5000  0.0000  4 Re 1.92

Raw formation energy: 1.075 eV per atom


The following is a PBE-GGA calculation of Tb3CeSm3 after structural relaxation, from Alexandria.

a b c (Å): 8.1385 8.1385 7.1653
angles (deg): 90.01 90.01 89.32
Last column: nearest neighbours and their distance in Å.
Positions (direct):
Tb  0.2101  0.7899  0.0000  6 Sm 3.45-3.77, 4 Tb 3.48-3.58
Tb  0.2144  0.7856  0.5000  6 Sm 3.41-3.72, 2 Ce 3.46, 2 Tb 3.58
Tb  0.2178  0.2178  0.9988  6 Sm 3.41-3.73, 2 Tb 3.48, 2 Ce 3.57-3.60
Tb  0.7822  0.7822  0.0012  6 Sm 3.41-3.73, 2 Tb 3.48, 2 Ce 3.57-3.60
Tb  0.7856  0.2144  0.5000  6 Sm 3.41-3.72, 2 Ce 3.46, 2 Tb 3.58
Tb  0.7899  0.2101  0.0000  6 Sm 3.45-3.77, 4 Tb 3.48-3.58
Ce  0.2109  0.2109  0.5010  6 Sm 3.39-3.80, 4 Tb 3.46-3.60
Ce  0.7891  0.7891  0.4990  6 Sm 3.39-3.80, 4 Tb 3.46-3.60
Sm  0.0006  0.4995  0.2537  2 Ce 3.39, 6 Tb 3.41-3.45, 2 Sm 3.53-3.64
Sm  0.4995  0.0006  0.2537  2 Ce 3.39, 6 Tb 3.41-3.45, 2 Sm 3.53-3.64
Sm  0.4996  0.4996  0.2505  2 Sm 3.58-3.59, 6 Tb 3.72-3.77, 2 Ce 3.79-3.80
Sm  0.5004  0.5004  0.7495  2 Sm 3.58-3.59, 6 Tb 3.72-3.77, 2 Ce 3.79-3.80
Sm  0.5005  0.9994  0.7463  2 Ce 3.39, 6 Tb 3.41-3.45, 2 Sm 3.53-3.64
Sm  0.9994  0.5005  0.7463  2 Ce 3.39, 6 Tb 3.41-3.45, 2 Sm 3.53-3.64

VASP energy: -4.646 eV per atom